The following is a DFT calculation (PBE with a Hubbard U) of a geometry-optimized MnBiO2F structure.

Output
SG	No. 11
D(E_F)	0.00	states/eV/atom
crystal system	monoclinic
total magnetic moment	5.00	μB/f.u.
total DFT energy (no corrections)	-6.390	eV per atom

Cell: 4.048 5.599 7.701 Å, 84.17 90.00 90.00°
Element x y z (fractional)
Bi (0.250, 0.726, 0.362)
Mn (0.250, 0.622, 0.860)
O (0.250, 0.528, 0.136)
O (0.750, 0.533, 0.389)
O (0.750, 0.472, 0.864)
O (0.250, 0.467, 0.611)
F (0.750, 0.022, 0.237)
Mn (0.750, 0.378, 0.140)
Bi (0.750, 0.274, 0.638)
F (0.250, 0.978, 0.763)